1.
Below is a geometry-optimized Li3Er2SiNi12 structure, with properties calculated at the GGA-PBE level. Values from VASP.

Quantum ESPRESSO input file:
```
&SYSTEM
  ibrav = 0, nat = 18, ntyp = 4
/
ATOMIC_SPECIES
Ni 58.69 Ni.upf
Li 6.94 Li.upf
Si 28.09 Si.upf
Er 167.26 Er.upf
CELL_PARAMETERS angstrom
10.789 3.329 2.361
8.223 7.738 2.361
8.223 4.786 6.522
ATOMIC_POSITIONS crystal
Ni 0.889 0.385 0.889
Ni 0.111 0.615 0.111
Ni 0.385 0.889 0.889
Ni 0.128 0.600 0.600
Ni 0.111 0.111 0.615
Ni 0.615 0.111 0.111
Ni 0.600 0.600 0.128
Ni 0.872 0.400 0.400
Ni 0.889 0.889 0.385
Ni 0.400 0.400 0.872
Ni 0.600 0.128 0.600
Ni 0.400 0.872 0.400
Li 0.000 0.500 0.000
Li 0.500 0.000 0.000
Li 0.000 0.000 0.500
Si 0.000 0.000 0.000
Er 0.358 0.358 0.358
Er 0.642 0.642 0.642
```


2.
Below is a geometry-optimized EuScHg structure, with properties calculated at the GGA-PBE level. Values from VASP.

Quantum ESPRESSO input file:
```
&SYSTEM
  ibrav = 0, nat = 3, ntyp = 3
/
ATOMIC_SPECIES
Sc 44.96 Sc.upf
Eu 151.96 Eu.upf
Hg 200.59 Hg.upf
CELL_PARAMETERS angstrom
3.665 0.000 0.000
0.000 3.665 0.000
-1.833 -1.833 6.245
ATOMIC_POSITIONS crystal
Sc 0.302 0.302 0.604
Eu 0.010 0.010 0.019
Hg 0.688 0.688 0.376
```

## Properties
As for the formation energy: -0.72 eV/f.u.


3.
Below is a geometry-optimized ScFe4B2 structure, with properties calculated at the GGA-PBE level. Values from VASP.

Quantum ESPRESSO input file:
```
&SYSTEM
  ibrav = 0, nat = 7, ntyp = 3
/
ATOMIC_SPECIES
Fe 55.84 Fe.upf
B 10.81 B.upf
Sc 44.96 Sc.upf
CELL_PARAMETERS angstrom
3.432 0.000 0.000
0.000 3.441 0.000
0.000 -1.721 6.053
ATOMIC_POSITIONS crystal
Fe 0.000 0.685 0.370
Fe 0.500 0.819 0.637
Fe 0.000 0.315 0.630
Fe 0.500 0.181 0.363
B 0.500 0.576 0.153
B 0.500 0.424 0.847
Sc 0.000 0.000 0.000
```

## Properties
As for the formation energy: -2.37 eV/f.u.


4.
Below is a geometry-optimized Ta3B2 structure, with properties calculated at the GGA-PBE level. Values from VASP.

Quantum ESPRESSO input file:
```
&SYSTEM
  ibrav = 0, nat = 10, ntyp = 2
/
ATOMIC_SPECIES
B 10.81 B.upf
Ta 180.95 Ta.upf
CELL_PARAMETERS angstrom
6.212 0.000 0.000
0.000 6.212 0.000
0.000 0.000 3.304
ATOMIC_POSITIONS crystal
B 0.108 0.608 0.000
B 0.608 0.892 0.000
B 0.892 0.392 0.000
B 0.392 0.108 0.000
Ta 0.677 0.177 0.500
Ta 0.323 0.823 0.500
Ta 0.823 0.677 0.500
Ta 0.500 0.500 0.000
Ta 0.177 0.323 0.500
Ta 0.000 0.000 0.000
```

## Properties
As for the formation energy: -3.36 eV/f.u.


5.
Below is a geometry-optimized Nd5YEr structure, with properties calculated at the GGA-PBE level. Values from VASP.

Quantum ESPRESSO input file:
```
&SYSTEM
  ibrav = 0, nat = 14, ntyp = 3
/
ATOMIC_SPECIES
Nd 144.24 Nd.upf
Er 167.26 Er.upf
Y 88.91 Y.upf
CELL_PARAMETERS angstrom
-2.770 0.183 5.551
-5.987 -7.177 0.720
5.696 -5.012 4.969
ATOMIC_POSITIONS crystal
Nd 0.458 0.303 0.536
Nd 0.387 0.629 0.853
Nd 0.613 0.371 0.147
Nd 0.762 0.697 0.036
Nd 0.542 0.697 0.464
Nd 0.142 0.717 0.250
Nd 0.984 0.629 0.647
Nd 0.238 0.303 0.964
Nd 0.858 0.283 0.750
Nd 0.016 0.371 0.353
Er 0.489 0.022 0.250
Er 0.511 0.978 0.750
Y 0.000 0.000 0.000
Y 0.000 0.000 0.500
```

## Properties
As for the formation energy: 1.20 eV/f.u.


6.
Below is a geometry-optimized Cs3Rb5Cl12 structure, with properties calculated at the GGA-PBE level. Values from VASP.

Quantum ESPRESSO input file:
```
&SYSTEM
  ibrav = 0, nat = 80, ntyp = 3
/
ATOMIC_SPECIES
Cl 35.45 Cl.upf
Rb 85.47 Rb.upf
Cs 132.91 Cs.upf
CELL_PARAMETERS angstrom
-1.125 -14.666 8.510
-6.233 -2.054 -15.675
16.286 4.758 -0.958
ATOMIC_POSITIONS crystal
Cl 0.092 0.177 0.243
Cl 0.243 0.566 0.651
Cl 0.092 0.915 0.349
Cl 0.915 0.092 0.849
Cl 0.849 0.257 0.434
Cl 0.743 0.592 0.177
Cl 0.908 0.823 0.757
Cl 0.066 0.415 0.823
Cl 0.408 0.257 0.323
Cl 0.592 0.743 0.677
Cl 0.257 0.408 0.823
Cl 0.415 0.066 0.323
Cl 0.257 0.849 0.934
Cl 0.566 0.323 0.915
Cl 0.585 0.934 0.677
Cl 0.592 0.849 0.415
Cl 0.934 0.349 0.257
Cl 0.243 0.677 0.092
Cl 0.566 0.243 0.151
Cl 0.177 0.092 0.743
Cl 0.585 0.651 0.408
Cl 0.651 0.585 0.908
Cl 0.323 0.757 0.408
Cl 0.757 0.434 0.349
Cl 0.677 0.434 0.585
Cl 0.651 0.066 0.243
Cl 0.677 0.243 0.592
Cl 0.323 0.566 0.415
Cl 0.151 0.743 0.566
Cl 0.934 0.585 0.177
Cl 0.415 0.349 0.592
Cl 0.151 0.408 0.085
Cl 0.849 0.592 0.915
Cl 0.434 0.757 0.849
Cl 0.915 0.823 0.566
Cl 0.085 0.908 0.151
Cl 0.434 0.677 0.085
Cl 0.349 0.934 0.757
Cl 0.349 0.415 0.092
Cl 0.408 0.151 0.585
Cl 0.743 0.151 0.066
Cl 0.757 0.323 0.908
Cl 0.066 0.651 0.743
Cl 0.823 0.908 0.257
Cl 0.085 0.177 0.434
Cl 0.908 0.085 0.651
Cl 0.823 0.915 0.066
Cl 0.177 0.085 0.934
Rb 0.500 0.500 0.000
Rb 0.625 0.875 0.250
Rb 0.875 0.625 0.750
Rb 0.500 0.000 0.000
Rb 0.000 0.000 0.500
Rb 0.375 0.250 0.125
Rb 0.125 0.750 0.375
Rb 0.250 0.875 0.125
Rb 0.000 0.000 0.000
Rb 0.625 0.750 0.875
Rb 0.000 0.500 0.000
Rb 0.500 0.000 0.500
Rb 0.375 0.125 0.750
Rb 0.875 0.250 0.625
Rb 0.250 0.375 0.625
Rb 0.750 0.625 0.375
Rb 0.750 0.125 0.875
Rb 0.500 0.500 0.500
Rb 0.000 0.500 0.500
Rb 0.125 0.375 0.250
Cs 0.250 0.625 0.875
Cs 0.750 0.375 0.125
Cs 0.875 0.125 0.250
Cs 0.125 0.250 0.875
Cs 0.250 0.125 0.375
Cs 0.375 0.750 0.625
Cs 0.625 0.375 0.750
Cs 0.375 0.625 0.250
Cs 0.750 0.875 0.625
Cs 0.875 0.750 0.125
Cs 0.625 0.250 0.375
Cs 0.125 0.875 0.750
```


The following calculated total energy values (in eV/atom) correspond, in order, to the records above: -5.0183 -5.8756 -7.9861 -10.4545 -4.8089 -2.8174.